DyNi2C: optimized geometry, PBE-GGA.

Calculated total energy: -6.19 eV per atom
Space group: R-3m, No. 166
Total magnetization: 0.00 μB/cell
Energy of formation: 0.16 eV per atom

a b c (Å): 5.2927 5.2927 5.2927
angles (deg): 39.12 39.12 39.12
With the nearest neighbours (Å) after each atom.
Sites, in units of the cell vectors:
1 Dy 0.0000 0.0000 0.0000  8 Ni 2.80-2.98
2 Ni 0.2033 0.2033 0.2033  3 C 2.12, 3 Ni 2.31
3 Ni 0.7967 0.7967 0.7967  3 C 2.12, 3 Ni 2.31
4 C 0.5000 0.5000 0.5000  6 Ni 2.12